Version A
A plane-wave DFT calculation with PBE was carried out for a relaxed structure of La2YRh.

The space group is R3m (No. 160, hexagonal axes) and the conventional cell measures 3.9889, 3.9889 and 28.3021 Å, with angles of 90.00, 90.00 and 120.00 degrees. The distinct sites, in fractional coordinates, are La at (0.0000, 0.0000, 0.0000), La at (0.0000, 0.0000, 0.2134), Y at (0.0000, 0.0000, 0.7729) and Rh at (0.0000, 0.0000, 0.6071).

The value obtained for the calculated density is 6.0 g/cm3. Its magnetic moment is 0.9 μB/f.u. The density of states at the Fermi level is 14.41 states/eV per cell.

***

Version B
A plane-wave DFT calculation with PBE was carried out for a relaxed structure of La2YRh.

The space group is I4/mmm (No. 139) and the conventional cell measures 4.343, 4.343 and 11.190 Å, with angles of 90.00, 90.00 and 90.00 degrees. The distinct sites, in fractional coordinates, are La at (0.000, 0.500, 0.250), Y at (0.000, 0.000, 0.000) and Rh at (0.000, 0.000, 0.500).

The value obtained for the calculated density is 7.4 g/cm3. Its magnetic moment is 0.0 μB/f.u. The density of states at the Fermi level is 9.87 states/eV per cell.

***

Version C
A plane-wave DFT calculation with PBE was carried out for a relaxed structure of La2YRh.

The space group is Pmmm (No. 47) and the conventional cell measures 3.857, 5.215 and 5.325 Å, with angles of 90.00, 90.00 and 90.00 degrees. The distinct sites, in fractional coordinates, are La at (0.000, 0.000, 0.000), La at (0.500, 0.000, 0.500), Y at (0.000, 0.500, 0.500) and Rh at (0.500, 0.500, 0.000).

The value obtained for the calculated density is 7.3 g/cm3. Its magnetic moment is 0.0 μB/f.u. The density of states at the Fermi level is 5.00 states/eV per cell.

***

Version D
A plane-wave DFT calculation with PBE was carried out for a relaxed structure of La2YRh.

The space group is P4/mmm (No. 123) and the conventional cell measures 5.325, 5.325 and 3.891 Å, with angles of 90.00, 90.00 and 90.00 degrees. The distinct sites, in fractional coordinates, are La at (0.000, 0.500, 0.000), Y at (0.000, 0.000, 0.500) and Rh at (0.500, 0.500, 0.500).

The value obtained for the calculated density is 7.1 g/cm3. Its magnetic moment is 0.0 μB/f.u. The density of states at the Fermi level is 4.58 states/eV per cell.

***

Which one sits at the top of the stability order? version A does.

***

Version A
A plane-wave DFT calculation with PBE was carried out for a relaxed structure of La2Y2Rh.

The space group is P4/mbm (No. 127) and the conventional cell measures 7.211, 7.211 and 5.899 Å, with angles of 90.00, 90.00 and 90.00 degrees. The distinct sites, in fractional coordinates, are La at (0.167, 0.333, 0.000), Y at (0.162, 0.662, 0.500) and Rh at (0.000, 0.000, 0.500).

The value obtained for the calculated density is 6.0 g/cm3. Its magnetic moment is 0.0 μB/f.u. The density of states at the Fermi level is 21.90 states/eV per cell.

***

Version B
A plane-wave DFT calculation with PBE was carried out for a relaxed structure of La2Y2Rh.

The space group is P4/mbm (No. 127) and the conventional cell measures 7.310, 7.310 and 5.772 Å, with angles of 90.00, 90.00 and 90.00 degrees. The distinct sites, in fractional coordinates, are La at (0.158, 0.342, 0.000), Y at (0.166, 0.666, 0.500) and Rh at (0.000, 0.000, 0.000).

The value obtained for the calculated density is 6.0 g/cm3. Its magnetic moment is 0.0 μB/f.u. The density of states at the Fermi level is 11.75 states/eV per cell.

***

Which one sits at the top of the stability order? version A does.

***

Version A
A plane-wave DFT calculation with PBE was carried out for a relaxed structure of LaYRh3.

The space group is Pm-3m (No. 221) and the conventional cell measures 4.938, 4.938 and 4.938 Å, with angles of 90.00, 90.00 and 90.00 degrees. The distinct sites, in fractional coordinates, are La at (0.000, 0.000, 0.000), Y at (0.500, 0.500, 0.500) and Rh at (0.000, 0.000, 0.500).

The value obtained for the calculated density is 7.4 g/cm3. Its magnetic moment is 0.0 μB/f.u. The density of states at the Fermi level is 6.11 states/eV per cell.

***

Version B
A plane-wave DFT calculation with PBE was carried out for a relaxed structure of LaYRh3.

The space group is Pm-3m (No. 221) and the conventional cell measures 4.952, 4.952 and 4.952 Å, with angles of 90.00, 90.00 and 90.00 degrees. The distinct sites, in fractional coordinates, are La at (0.000, 0.000, 0.000), Y at (0.500, 0.500, 0.500) and Rh at (0.000, 0.500, 0.500).

The value obtained for the calculated density is 7.3 g/cm3. Its magnetic moment is 0.0 μB/f.u. The density of states at the Fermi level is 3.90 states/eV per cell.

***

Which one sits at the top of the stability order? version B does.

***

Version A
A plane-wave DFT calculation with PBE was carried out for a relaxed structure of La2ZnRh3.

The space group is P6_3/mmc (No. 194) and the conventional cell measures 5.6765, 5.6765 and 8.3004 Å, with angles of 90.00, 90.00 and 120.00 degrees. The distinct sites, in fractional coordinates, are La at (0.3333, 0.6667, 0.0602), Zn at (0.0000, 0.0000, 0.0000) and Rh at (0.1658, 0.3315, 0.7500).

The value obtained for the calculated density is 9.3 g/cm3. Its magnetic moment is 0.0 μB/f.u. The density of states at the Fermi level is 7.81 states/eV per cell.

***

Version B
A plane-wave DFT calculation with PBE was carried out for a relaxed structure of La2ZnRh3.

The space group is Immm (No. 71) and the conventional cell measures 4.413, 5.296 and 10.799 Å, with angles of 90.00, 90.00 and 90.00 degrees. The distinct sites, in fractional coordinates, are La at (0.000, 0.000, 0.182), Zn at (0.000, 0.000, 0.500), Rh at (0.000, 0.500, 0.125) and Rh at (0.000, 0.500, 0.500).

The value obtained for the calculated density is 8.6 g/cm3. Its magnetic moment is 0.0 μB/f.u. The density of states at the Fermi level is 6.84 states/eV per cell.

***

Which one sits at the top of the stability order? version A does.

***

Version A
A plane-wave DFT calculation with PBE was carried out for a relaxed structure of La6Zn2Rh.

The space group is P-62m (No. 189) and the conventional cell measures 8.8917, 8.8917 and 3.8344 Å, with angles of 90.00, 90.00 and 120.00 degrees. The distinct sites, in fractional coordinates, are La at (0.0000, 0.2463, 0.0000), La at (0.0000, 0.5919, 0.5000), Zn at (0.3333, 0.6667, 0.0000) and Rh at (0.0000, 0.0000, 0.5000).

The value obtained for the calculated density is 6.7 g/cm3. Its magnetic moment is 0.0 μB/f.u. The density of states at the Fermi level is 12.33 states/eV per cell.

***

Version B
A plane-wave DFT calculation with PBE was carried out for a relaxed structure of La6Zn2Rh.

The space group is P2_1/c (No. 14) and the conventional cell measures 6.372, 9.479 and 10.286 Å, with angles of 90.00, 119.87 and 90.00 degrees. The distinct sites, in fractional coordinates, are La at (0.062, 0.178, 0.483), La at (0.363, 0.677, 0.453), La at (0.387, 0.030, 0.280), Zn at (0.116, 0.099, 0.780) and Rh at (0.000, 0.000, 0.000).

The value obtained for the calculated density is 6.6 g/cm3. Its magnetic moment is 0.0 μB/f.u. The density of states at the Fermi level is 19.32 states/eV per cell.

***

Which one sits at the top of the stability order? version A does.

***

Version A
A plane-wave DFT calculation with PBE was carried out for a relaxed structure of LaZn9Rh2.

The space group is I4_1/amd (No. 141, origin choice 2) and the conventional cell measures 10.589, 10.589 and 7.003 Å, with angles of 90.00, 90.00 and 90.00 degrees. The distinct sites, in fractional coordinates, are La at (0.000, 0.250, 0.375), Zn at (0.000, 0.250, 0.875), Zn at (0.122, 0.043, 0.684) and Rh at (0.000, 0.000, 0.000).

The value obtained for the calculated density is 7.9 g/cm3. Its magnetic moment is 0.0 μB/f.u. The density of states at the Fermi level is 25.32 states/eV per cell.

***

Version B
A plane-wave DFT calculation with PBE was carried out for a relaxed structure of LaZn9Rh2.

The space group is P6/mmm (No. 191) and the conventional cell measures 8.7576, 8.7576 and 3.0456 Å, with angles of 90.00, 90.00 and 120.00 degrees. The distinct sites, in fractional coordinates, are La at (0.0000, 0.0000, 0.0000), Zn at (0.0000, 0.5000, 0.0000), Zn at (0.1901, 0.3803, 0.5000) and Rh at (0.3333, 0.6667, 0.0000).

The value obtained for the calculated density is 7.7 g/cm3. Its magnetic moment is 0.0 μB/f.u. The density of states at the Fermi level is 7.57 states/eV per cell.

***

Which one sits at the top of the stability order? version A does.

***

Version A
A plane-wave DFT calculation with PBE was carried out for a relaxed structure of La2ZrRh.

The space group is R-3m (No. 166, hexagonal axes) and the conventional cell measures 3.7425, 3.7425 and 27.6036 Å, with angles of 90.00, 90.00 and 120.00 degrees. The distinct sites, in fractional coordinates, are La at (0.0000, 0.0000, 0.2343), Zr at (0.0000, 0.0000, 0.0000) and Rh at (0.0000, 0.0000, 0.5000).

The value obtained for the calculated density is 7.0 g/cm3. Its magnetic moment is 0.0 μB/f.u. The density of states at the Fermi level is 15.02 states/eV per cell.

***

Version B
A plane-wave DFT calculation with PBE was carried out for a relaxed structure of La2ZrRh.

The space group is F-43m (No. 216) and the conventional cell measures 7.246, 7.246 and 7.246 Å, with angles of 90.00, 90.00 and 90.00 degrees. The distinct sites, in fractional coordinates, are La at (0.000, 0.000, 0.000), La at (0.250, 0.250, 0.250), Zr at (0.250, 0.250, 0.750) and Rh at (0.000, 0.000, 0.500).

The value obtained for the calculated density is 8.2 g/cm3. Its magnetic moment is 0.2 μB/f.u. The density of states at the Fermi level is 29.23 states/eV per cell.

***

Version C
A plane-wave DFT calculation with PBE was carried out for a relaxed structure of La2ZrRh.

The space group is P2/m (No. 10) and the conventional cell measures 3.635, 3.623 and 8.030 Å, with angles of 90.00, 90.40 and 90.00 degrees. The distinct sites, in fractional coordinates, are La at (0.004, 0.000, 0.288), Zr at (0.500, 0.500, 0.000) and Rh at (0.500, 0.500, 0.500).

The value obtained for the calculated density is 7.4 g/cm3. Its magnetic moment is 0.0 μB/f.u. The density of states at the Fermi level is 5.42 states/eV per cell.

***

Which one sits at the top of the stability order? version C does.

***

Version A
A plane-wave DFT calculation with PBE was carried out for a relaxed structure of La2ZrRh.

The space group is C2/m (No. 12) and the conventional cell measures 6.328, 9.787 and 3.428 Å, with angles of 90.00, 113.11 and 90.00 degrees. The distinct sites, in fractional coordinates, are La at (0.250, 0.250, 0.000), Zr at (0.000, 0.000, 0.500) and Rh at (0.000, 0.500, 0.500).

The value obtained for the calculated density is 8.0 g/cm3. Its magnetic moment is 0.0 μB/f.u. The density of states at the Fermi level is 9.68 states/eV per cell.

***

Version B
A plane-wave DFT calculation with PBE was carried out for a relaxed structure of La2ZrRh.

The space group is Fm-3m (No. 225) and the conventional cell measures 7.439, 7.439 and 7.439 Å, with angles of 90.00, 90.00 and 90.00 degrees. The distinct sites, in fractional coordinates, are La at (0.250, 0.250, 0.250), Zr at (0.000, 0.000, 0.000) and Rh at (0.000, 0.000, 0.500).

The value obtained for the calculated density is 7.6 g/cm3. Its magnetic moment is 2.2 μB/f.u. The density of states at the Fermi level is 21.94 states/eV per cell.

***

Version C
A plane-wave DFT calculation with PBE was carried out for a relaxed structure of La2ZrRh.

The space group is Pmmm (No. 47) and the conventional cell measures 3.519, 5.036 and 5.440 Å, with angles of 90.00, 90.00 and 90.00 degrees. The distinct sites, in fractional coordinates, are La at (0.000, 0.000, 0.000), La at (0.500, 0.000, 0.500), Zr at (0.000, 0.500, 0.500) and Rh at (0.500, 0.500, 0.000).

The value obtained for the calculated density is 8.1 g/cm3. Its magnetic moment is 0.0 μB/f.u. The density of states at the Fermi level is 4.54 states/eV per cell.

***

Version D
A plane-wave DFT calculation with PBE was carried out for a relaxed structure of La2ZrRh.

The space group is Immm (No. 71) and the conventional cell measures 3.795, 5.498 and 10.005 Å, with angles of 90.00, 90.00 and 90.00 degrees. The distinct sites, in fractional coordinates, are La at (0.000, 0.000, 0.207), Zr at (0.000, 0.500, 0.000) and Rh at (0.000, 0.500, 0.500).

The value obtained for the calculated density is 7.5 g/cm3. Its magnetic moment is 0.1 μB/f.u. The density of states at the Fermi level is 10.08 states/eV per cell.

***

Which one sits at the top of the stability order? version D does.

***

Version A
A plane-wave DFT calculation with PBE was carried out for a relaxed structure of La2ZrRh.

The space group is Imm2 (No. 44) and the conventional cell measures 3.621, 5.462 and 10.888 Å, with angles of 90.00, 90.00 and 90.00 degrees. The distinct sites, in fractional coordinates, are La at (0.000, 0.000, 0.000), La at (0.000, 0.500, 0.208), Zr at (0.000, 0.000, 0.407) and Rh at (0.000, 0.500, 0.730).

The value obtained for the calculated density is 7.3 g/cm3. Its magnetic moment is 0.0 μB/f.u. The density of states at the Fermi level is 8.63 states/eV per cell.

***

Version B
A plane-wave DFT calculation with PBE was carried out for a relaxed structure of La2ZrRh.

The space group is P4/mmm (No. 123) and the conventional cell measures 5.351, 5.351 and 3.550 Å, with angles of 90.00, 90.00 and 90.00 degrees. The distinct sites, in fractional coordinates, are La at (0.000, 0.500, 0.000), Zr at (0.000, 0.000, 0.500) and Rh at (0.500, 0.500, 0.500).

The value obtained for the calculated density is 7.7 g/cm3. Its magnetic moment is 0.0 μB/f.u. The density of states at the Fermi level is 3.88 states/eV per cell.

***

Version C
A plane-wave DFT calculation with PBE was carried out for a relaxed structure of La2ZrRh.

The space group is I-42d (No. 122) and the conventional cell measures 8.319, 8.319 and 6.344 Å, with angles of 90.00, 90.00 and 90.00 degrees. The distinct sites, in fractional coordinates, are La at (0.198, 0.250, 0.125), Zr at (0.000, 0.000, 0.500) and Rh at (0.000, 0.000, 0.000).

The value obtained for the calculated density is 7.1 g/cm3. Its magnetic moment is 0.0 μB/f.u. The density of states at the Fermi level is 22.95 states/eV per cell.

***

Version D
A plane-wave DFT calculation with PBE was carried out for a relaxed structure of La2ZrRh.

The space group is I4/mmm (No. 139) and the conventional cell measures 4.320, 4.320 and 10.440 Å, with angles of 90.00, 90.00 and 90.00 degrees. The distinct sites, in fractional coordinates, are La at (0.000, 0.500, 0.250), Zr at (0.000, 0.000, 0.000) and Rh at (0.000, 0.000, 0.500).

The value obtained for the calculated density is 8.0 g/cm3. Its magnetic moment is 0.0 μB/f.u. The density of states at the Fermi level is 11.86 states/eV per cell.

***

Which one sits at the top of the stability order? version A does.